The following is a DFT calculation (PBE) of LiTlGaPb after structural relaxation.

Output
* total energy: -2.8016 eV per atom
* Fermi-level density of states: 0.785 states/eV/atom
* V: 392.2 Å³/cell
* calculated density: 8268 kg/m3

a b c (Å): 7.3200 7.3200 7.3200
angles (deg): 90.00 90.00 90.00
Space group F-43m (No. 216)
Unique sites:
Li1 0.0000 0.0000 0.0000 x4
Tl1 0.2500 0.2500 0.7500 x4
Ga1 0.0000 0.0000 0.5000 x4
Pb1 0.2500 0.2500 0.2500 x4